! PBE CoNiS, optimized geometry; values from VASP
! density of states at the Fermi level = 4.516 states/eV per cell
! crystal system = trigonal
! polymorph energy (0 for the lowest one) = 0 meV/atom
! E_form (uncorrected) = -0.160 eV per atom
! raw total energy = -5.832 eV/atom
&SYSTEM
  ibrav = 0, nat = 6, ntyp = 3
/
ATOMIC_SPECIES
Co 58.93 Co.upf
Ni 58.69 Ni.upf
S 32.06 S.upf
CELL_PARAMETERS angstrom
1.851 1.068 6.029
-1.851 1.068 6.029
0.000 -2.137 6.029
ATOMIC_POSITIONS crystal
Co 0.123 0.123 0.123
Co 0.877 0.877 0.877
Ni 0.373 0.373 0.373
Ni 0.627 0.627 0.627
S 0.246 0.246 0.246
S 0.754 0.754 0.754

---

! PBE Nb2VSn, optimized geometry; values from VASP
! density of states at the Fermi level = 2.882 states/eV per cell
! crystal system = tetragonal
! raw total energy = -8.354 eV/atom
&SYSTEM
  ibrav = 0, nat = 4, ntyp = 3
/
ATOMIC_SPECIES
Nb 92.91 Nb.upf
V 50.94 V.upf
Sn 118.71 Sn.upf
CELL_PARAMETERS angstrom
3.424 0.000 0.000
0.000 3.424 0.000
0.000 0.000 6.121
ATOMIC_POSITIONS crystal
Nb 0.000 0.000 0.227
Nb 0.000 0.000 0.773
V 0.500 0.500 0.000
Sn 0.500 0.500 0.500

---

! PBE Tb3Np2Fe4, optimized geometry; values from VASP
! density of states at the Fermi level = 13.972 states/eV per cell
! crystal system = monoclinic
! raw total energy = -8.249 eV/atom
&SYSTEM
  ibrav = 0, nat = 9, ntyp = 3
/
ATOMIC_SPECIES
Tb 158.93 Tb.upf
Np 237.00 Np.upf
Fe 55.84 Fe.upf
CELL_PARAMETERS angstrom
5.423 -1.998 0.000
5.423 1.998 0.000
-1.934 0.000 8.178
ATOMIC_POSITIONS crystal
Tb 0.000 0.000 0.000
Tb 0.375 0.375 0.620
Tb 0.625 0.625 0.380
Np 0.328 0.328 0.220
Np 0.672 0.672 0.780
Fe 0.090 0.090 0.643
Fe 0.266 0.266 0.911
Fe 0.734 0.734 0.089
Fe 0.910 0.910 0.357

---

! PBE Mg3ZnO4, optimized geometry; values from VASP
! density of states at the Fermi level = 0.000 states/eV per cell
! crystal system = orthorhombic
! polymorph energy (0 for the lowest one) = 0 meV/atom
! E_form (uncorrected) = -2.356 eV per atom
! raw total energy = -5.592 eV/atom
&SYSTEM
  ibrav = 0, nat = 8, ntyp = 3
/
ATOMIC_SPECIES
Mg 24.30 Mg.upf
Zn 65.41 Zn.upf
O 16.00 O.upf
CELL_PARAMETERS angstrom
3.029 0.000 0.000
0.000 4.273 0.000
0.000 0.000 6.047
ATOMIC_POSITIONS crystal
Mg 0.000 0.000 0.000
Mg 0.500 0.500 0.250
Mg 0.500 0.500 0.750
Zn 0.000 0.000 0.500
O 0.000 0.500 0.000
O 0.000 0.500 0.500
O 0.500 0.000 0.244
O 0.500 0.000 0.756

---

! PBE Na4Ir3RhS8, optimized geometry; values from VASP
! crystal system = trigonal
! E_form (uncorrected) = -0.690 eV per atom
! raw total energy = -5.205 eV/atom
&SYSTEM
  ibrav = 0, nat = 16, ntyp = 4
/
ATOMIC_SPECIES
Na 22.99 Na.upf
Ir 192.22 Ir.upf
Rh 102.91 Rh.upf
S 32.06 S.upf
CELL_PARAMETERS angstrom
3.673 2.121 6.210
-3.673 2.121 6.210
0.000 -4.242 6.210
ATOMIC_POSITIONS crystal
Na 0.000 0.000 0.000
Na 0.000 0.500 0.500
Na 0.500 0.000 0.500
Na 0.500 0.500 0.000
Ir 0.000 0.000 0.500
Ir 0.000 0.500 0.000
Ir 0.500 0.000 0.000
Rh 0.500 0.500 0.500
S 0.228 0.228 0.228
S 0.228 0.729 0.729
S 0.271 0.271 0.772
S 0.271 0.772 0.271
S 0.729 0.228 0.729
S 0.729 0.729 0.228
S 0.772 0.271 0.271
S 0.772 0.772 0.772

---

! PBE Tb4NdCd5, optimized geometry; values from VASP
! density of states at the Fermi level = 12.305 states/eV per cell
! crystal system = tetragonal
! raw total energy = -3.104 eV/atom
&SYSTEM
  ibrav = 0, nat = 10, ntyp = 3
/
ATOMIC_SPECIES
Tb 158.93 Tb.upf
Nd 144.24 Nd.upf
Cd 112.41 Cd.upf
CELL_PARAMETERS angstrom
3.775 0.000 0.000
0.000 3.775 0.000
0.000 0.000 18.920
ATOMIC_POSITIONS crystal
Tb 0.000 0.000 0.099
Tb 0.000 0.000 0.296
Tb 0.000 0.000 0.704
Tb 0.000 0.000 0.901
Nd 0.000 0.000 0.500
Cd 0.500 0.500 0.000
Cd 0.500 0.500 0.198
Cd 0.500 0.500 0.393
Cd 0.500 0.500 0.607
Cd 0.500 0.500 0.802

---

! PBE Ba2AcPb3, optimized geometry; values from VASP
! density of states at the Fermi level = 7.989 states/eV per cell
! crystal system = orthorhombic
! raw total energy = -3.665 eV/atom
&SYSTEM
  ibrav = 0, nat = 12, ntyp = 3
/
ATOMIC_SPECIES
Ba 137.33 Ba.upf
Ac 227.00 Ac.upf
Pb 207.20 Pb.upf
CELL_PARAMETERS angstrom
3.186 -9.390 0.000
3.186 9.390 0.000
0.000 0.000 7.830
ATOMIC_POSITIONS crystal
Ba 0.000 0.000 0.000
Ba 0.000 0.000 0.500
Ba 0.331 0.669 0.000
Ba 0.669 0.331 0.000
Ac 0.345 0.655 0.500
Ac 0.655 0.345 0.500
Pb 0.174 0.826 0.292
Pb 0.174 0.826 0.708
Pb 0.500 0.500 0.240
Pb 0.500 0.500 0.760
Pb 0.826 0.174 0.292
Pb 0.826 0.174 0.708

---

! PBE PrYGaGe, optimized geometry; values from VASP
! density of states at the Fermi level = 3.332 states/eV per cell
! crystal system = orthorhombic
! polymorph energy (0 for the lowest one) = 0 meV/atom
! raw total energy = -5.497 eV/atom
&SYSTEM
  ibrav = 0, nat = 4, ntyp = 4
/
ATOMIC_SPECIES
Pr 140.91 Pr.upf
Y 88.91 Y.upf
Ga 69.72 Ga.upf
Ge 72.64 Ge.upf
CELL_PARAMETERS angstrom
4.073 0.000 0.000
0.000 2.210 5.553
0.000 -2.210 5.553
ATOMIC_POSITIONS crystal
Pr 0.000 0.000 0.000
Y 0.500 0.280 0.280
Ga 0.500 0.568 0.568
Ge 0.000 0.720 0.720

---

! PBE SrOsRu, optimized geometry; values from VASP
! density of states at the Fermi level = 4.791 states/eV per cell
! crystal system = hexagonal
! polymorph energy (0 for the lowest one) = 111 meV/atom
! raw total energy = -7.029 eV/atom
&SYSTEM
  ibrav = 0, nat = 6, ntyp = 3
/
ATOMIC_SPECIES
Sr 87.62 Sr.upf
Os 190.23 Os.upf
Ru 101.07 Ru.upf
CELL_PARAMETERS angstrom
4.137 0.000 0.000
-2.068 3.583 0.000
0.000 0.000 9.967
ATOMIC_POSITIONS crystal
Sr 0.000 0.000 0.000
Sr 0.000 0.000 0.500
Os 0.333 0.667 0.250
Os 0.667 0.333 0.750
Ru 0.333 0.667 0.750
Ru 0.667 0.333 0.250